Entry 1:
This record from the Alexandria database describes a geometry-optimized CsP2S2 structure. The functional is PBE.

Values from the calculation:
Formation energy without anion corrections   4.83 kcal/mol of atoms
Total magnetization   0.512 μB/f.u.
Distance to the lowest polymorph of the same formula   0 meV per atom

```
CsP2S2
1.0
4.980 0.000 0.000
0.000 4.980 0.000
0.000 0.000 4.654
Cs P S
1 2 2
Cartesian
0.000 0.000 0.000
2.490 2.490 0.000
2.490 2.490 2.327
0.000 2.490 2.327
2.490 0.000 2.327
```

Entry 2:
This record from the Alexandria database describes a geometry-optimized InMo2Cl structure. The functional is PBE.

Values from the calculation:
Formation energy without anion corrections   12.44 kcal/mol of atoms
Total magnetization   0.000 μB/f.u.
Distance to the lowest polymorph of the same formula   418 meV per atom

```
InMo2Cl
1.0
3.346 0.000 0.000
0.000 5.026 0.000
-0.494 0.000 5.082
In Mo Cl
1 2 1
Cartesian
0.000 0.000 0.000
0.922 2.513 0.875
1.929 2.513 4.206
1.426 0.000 2.541
```

Entry 3:
This record from the Alexandria database describes a geometry-optimized KHg3P structure. The functional is PBE.

Values from the calculation:
Total magnetization   0.000 μB/f.u.
Distance to the lowest polymorph of the same formula   24 meV per atom
Energy of formation from the pure elements   -118 meV/atom

```
KHg3P
1.0
7.011 0.000 0.000
2.938 6.962 0.000
2.144 2.433 7.005
K Hg P
2 6 2
Cartesian
0.000 0.000 0.000
4.236 4.628 3.382
1.246 1.191 3.290
2.486 2.626 0.636
7.457 7.876 2.963
5.793 2.251 5.888
7.445 5.701 5.920
7.984 4.982 1.983
5.574 5.162 0.413
7.254 3.703 4.509
```